No. 1
Below is a geometry-optimized Ac3MnTl3Te8 structure, with properties calculated at the PBE-GGA level.

Cell lengths 9.3098, 9.3098, 24.6911 Å; angles 90.00, 90.00, 120.00 degrees
With the nearest neighbours (Å) after each atom.
Space group R-3m (No. 166, hexagonal axes)
Inequivalent atoms, fractional coordinates:
Ac1 0.0000 0.5000 0.0000  6 Te 3.30-3.35
Mn1 0.0000 0.0000 0.0000  6 Te 2.82
Tl1 0.0000 0.5000 0.5000  6 Te 3.47-3.52
Te1 0.0000 0.0000 0.2556  3 Ac 3.30, 3 Tl 3.47
Te2 0.0498 0.5249 0.7337  1 Mn 2.82

## Properties
Uncorrected formation energy   -0.85 eV/atom

=====

No. 2
Below is a geometry-optimized Ac2YMnTe5 structure, with properties calculated at the PBE-GGA level.

Cell lengths 4.4938, 19.1302, 13.6522 Å; angles 90.00, 90.00, 90.00 degrees
With the nearest neighbours (Å) after each atom.
Space group Cmc2_1 (No. 36)
Inequivalent atoms, fractional coordinates:
Ac1 0.0000 0.1170 0.0000  8 Te 3.37-3.61
Ac2 0.0000 0.1242 0.3559  8 Te 3.38-3.63
Y1 0.0000 0.1802 0.6790  6 Te 3.07-3.14, 2 Mn 3.43
Mn1 0.0000 0.4391 0.0900  4 Te 2.67-2.76
Te1 0.0000 0.0196 0.6820  2 Mn 2.69
Te2 0.0000 0.3039 0.0204  1 Mn 2.76
Te3 0.0000 0.3055 0.3380  2 Y 3.14, 3 Ac 3.48
Te4 0.0000 0.3430 0.6764  1 Y 3.11, 4 Ac 3.38
Te5 0.0000 0.4993 0.4143  1 Mn 2.67

## Properties
Uncorrected formation energy   -1.25 eV/atom

=====

No. 3
Below is a geometry-optimized AcThMn structure, with properties calculated at the PBE-GGA level.

Cell lengths 3.8247, 4.0478, 11.5799 Å; angles 80.11, 89.88, 89.96 degrees
With the nearest neighbours (Å) after each atom.
Space group P-1 (No. 2)
Inequivalent atoms, fractional coordinates:
Ac1 0.2493 0.1847 0.1277  1 Mn 3.74, 4 Th 3.81-3.82, 8 Ac 3.82-4.05
Th1 0.2506 0.4287 0.6439  6 Mn 2.88-3.09
Mn1 0.2501 0.0509 0.4550  2 Mn 2.18

## Properties
Calculated formation energy   0.092 eV per atom

=====

No. 4
Below is a geometry-optimized AcTh3Mn structure, with properties calculated at the PBE-GGA level.

Cell lengths 5.4032, 5.4032, 5.4032 Å; angles 90.00, 90.00, 90.00 degrees
With the nearest neighbours (Å) after each atom.
Space group Pm-3m (No. 221)
Inequivalent atoms, fractional coordinates:
Ac1 0.0000 0.0000 0.0000  12 Th 3.82
Th1 0.0000 0.5000 0.5000  2 Mn 2.70
Mn1 0.5000 0.5000 0.5000  6 Th 2.70

## Properties
Calculated formation energy   0.159 eV per atom

=====

No. 5
Below is a geometry-optimized AcTh2Mn structure, with properties calculated at the PBE-GGA level.

Cell lengths 3.8655, 3.8655, 31.1894 Å; angles 90.00, 90.00, 120.00 degrees
With the nearest neighbours (Å) after each atom.
Space group R-3m (No. 166, hexagonal axes)
Inequivalent atoms, fractional coordinates:
Ac1 0.0000 0.0000 0.0000  2 Th 3.70, 6 Ac 3.87
Th1 0.0000 0.0000 0.1186  3 Mn 2.69
Mn1 0.0000 0.0000 0.5000  6 Th 2.69

## Properties
Calculated formation energy   0.360 eV per atom

=====

No. 6
Below is a geometry-optimized AcUMn2 structure, with properties calculated at the PBE-GGA level.

Cell lengths 3.3390, 3.3390, 25.3859 Å; angles 90.00, 90.00, 120.00 degrees
With the nearest neighbours (Å) after each atom.
Space group R-3m (No. 166, hexagonal axes)
Inequivalent atoms, fractional coordinates:
Ac1 0.0000 0.0000 0.0000  6 Mn 3.26, 6 Ac 3.34
U1 0.0000 0.0000 0.5000  6 Mn 2.50
Mn1 0.0000 0.0000 0.2296  3 U 2.50

## Properties
Calculated formation energy   0.583 eV per atom

=====

No. 7
Below is a geometry-optimized AcY2Mn structure, with properties calculated at the PBE-GGA level.

Cell lengths 3.6290, 3.6290, 9.2256 Å; angles 90.00, 90.00, 90.00 degrees
With the nearest neighbours (Å) after each atom.
Space group P4/mmm (No. 123)
Inequivalent atoms, fractional coordinates:
Ac1 0.0000 0.0000 0.0000  4 Ac 3.63, 8 Y 3.88
Y1 0.5000 0.5000 0.3148  4 Mn 3.08, 1 Y 3.42
Mn1 0.0000 0.0000 0.5000  8 Y 3.08

## Properties
Calculated formation energy   0.152 eV per atom

=====

No. 8
Below is a geometry-optimized AcMnZn4 structure, with properties calculated at the PBE-GGA level.

Cell lengths 7.7379, 7.7379, 7.7379 Å; angles 90.00, 90.00, 90.00 degrees
With the nearest neighbours (Å) after each atom.
Space group F-43m (No. 216)
Inequivalent atoms, fractional coordinates:
Ac1 0.0000 0.0000 0.0000  12 Zn 3.21, 4 Mn 3.35
Mn1 0.2500 0.2500 0.2500  12 Zn 3.20, 4 Ac 3.35
Zn1 0.1225 0.1225 0.6225  6 Zn 2.68-2.79

## Properties
Calculated formation energy   0.007 eV per atom

=====

No. 9
Below is a geometry-optimized AcMnZn structure, with properties calculated at the PBE-GGA level.

Cell lengths 5.7896, 5.7896, 41.7635 Å; angles 90.00, 90.00, 120.00 degrees
With the nearest neighbours (Å) after each atom.
Space group R-3m (No. 166, hexagonal axes)
Inequivalent atoms, fractional coordinates:
Ac1 0.0000 0.0000 0.0426  9 Zn 3.40, 3 Mn 3.41, 4 Ac 3.56-3.57
Ac2 0.0000 0.0000 0.1780  9 Mn 3.26-3.41, 3 Zn 3.38, 4 Ac 3.44-3.47
Ac3 0.0000 0.0000 0.2605  6 Mn 3.33, 6 Zn 3.41-3.47, 4 Ac 3.44-3.57
Mn1 0.0189 0.5094 0.2210  2 Mn 2.73, 2 Zn 2.76-2.79
Zn1 0.0000 0.0000 0.3906  3 Mn 2.79, 3 Zn 2.92
Zn2 0.0000 0.0000 0.5000  6 Mn 2.76
Zn3 0.0000 0.5000 0.0000  6 Zn 2.89-2.92

## Properties
Calculated formation energy   0.106 eV per atom

=====

No. 10
Below is a geometry-optimized AcMnZn11 structure, with properties calculated at the PBE-GGA level.

Cell lengths 5.2396, 12.9174, 6.9846 Å; angles 90.00, 111.40, 90.00 degrees
With the nearest neighbours (Å) after each atom.
Space group C2/m (No. 12)
Inequivalent atoms, fractional coordinates:
Ac1 0.0000 0.0000 0.0000  18 Zn 3.27-3.49, 2 Mn 3.52
Mn1 0.0000 0.5000 0.5000  10 Zn 2.62-2.74
Zn1 0.0000 0.0000 0.5000  2 Mn 2.62, 8 Zn 2.66-2.81
Zn2 0.1138 0.3841 0.2330  1 Mn 2.62, 6 Zn 2.65-2.82
Zn3 0.1968 0.1760 0.3613  7 Zn 2.63-2.91, 1 Mn 2.74
Zn4 0.2500 0.2500 0.0000  10 Zn 2.62-2.91

## Properties
Calculated formation energy   -0.126 eV per atom

=====

No. 11
Below is a geometry-optimized Ac4Mo structure, with properties calculated at the PBE-GGA level.

Cell lengths 5.8938, 5.8938, 5.8938 Å; angles 90.00, 90.00, 90.00 degrees
With the nearest neighbours (Å) after each atom.
Space group Pm-3m (No. 221)
Inequivalent atoms, fractional coordinates:
Ac1 0.0000 0.0000 0.0000  12 Ac 4.17
Ac2 0.0000 0.5000 0.5000  2 Mo 2.95
Mo1 0.5000 0.5000 0.5000  6 Ac 2.95

## Properties
Calculated formation energy   0.356 eV per atom

=====

No. 12
Below is a geometry-optimized Ac3Mo structure, with properties calculated at the PBE-GGA level.

Cell lengths 5.0623, 5.0623, 10.5881 Å; angles 90.00, 90.00, 90.00 degrees
With the nearest neighbours (Å) after each atom.
Space group I4/mmm (No. 139)
Inequivalent atoms, fractional coordinates:
Ac1 0.0000 0.0000 0.0000  4 Mo 3.58, 8 Ac 3.66
Ac2 0.0000 0.5000 0.2500  8 Ac 3.58-3.66, 4 Mo 3.66
Mo1 0.0000 0.0000 0.5000  12 Ac 3.58-3.66

## Properties
Calculated formation energy   0.678 eV per atom

=====

Ordered total magnetic moment results: 9.234 17.161 0.000 0.000 0.000 0.004 2.999 12.083 56.017 6.534 0.000 2.469; unit μB per cell.
Ordered Fermi-level density of states results: 1.8 3.7 3.6 8.4 5.0 4.4 6.2 3.8 3.6 5.7 8.0 6.1; unit states/eV/f.u..
Ordered VASP energy results: -4.4342 -5.6493 -6.8071 -6.9489 -6.6690 -7.8506 -6.3997 -3.0553 -4.7447 -2.2258 -5.0971 -5.1116; unit eV per atom.